# 1
The following is a DFT calculation (PBE) of a geometry-optimized CaGeAu3 structure.

Summary:
Energy of formation from the pure elements, kcal/mol of atoms: -6.1
ΔE to the lowest computed polymorph, eV per atom: 0.179

Lattice parameters (Å, degrees): 4.9515 4.9515 4.9515 90.00 90.00 90.00
Fractional positions:
Au1 0.0000 0.5000 0.0000
Au2 0.5000 0.0000 0.0000
Ca1 0.5000 0.5000 0.5000
Au3 0.0000 0.0000 0.5000
Ge1 0.0000 0.0000 0.0000

***

# 2
The following is a DFT calculation (PBE) of a geometry-optimized MoPd2S structure.

Summary:
Formation energy (no corrections), eV per formula unit: 0.8

Lattice parameters (Å, degrees): 7.0811 7.0811 5.6033 50.81 50.81 90.00
Fractional positions:
Pd1 0.1623 0.6250 0.2500
S1 0.5000 0.5000 0.0000
Pd2 0.5877 0.1250 0.2500
Mo1 0.0000 0.0000 0.0000
Mo2 0.7500 0.2500 0.5000
Pd3 0.3750 0.4123 0.7500
S2 0.2500 0.7500 0.5000
Pd4 0.8750 0.8377 0.7500

***

| no. | spin magnetization (μB/f.u.) | DOS(E_F) (states/eV per cell) |
| --- | --- | --- |
| 1 | 0.00 | 2.043 |
| 2 | 0.00 | 3.147 |